P:
A plane-wave DFT calculation with PBE-GGA was carried out for an optimized crystal structure of Hf3ZnHg.

Computed properties:
**SG**: No. 11
**V**: 20.75 A^3/atom
**Density of states at the Fermi level**: 9.19 states/eV/cell
**Total magnetic moment**: 0.00 μB/cell

a b c (Å): 5.341 5.462 7.415
angles (deg): 90.00 106.38 90.00
Atoms (fractional coordinates):
Hf  0.000  0.000  0.000
Hf  0.000  0.500  0.000
Hf  0.120  0.250  0.450
Hf  0.447  0.750  0.719
Hf  0.553  0.250  0.281
Hf  0.880  0.750  0.550
Zn  0.264  0.750  0.345
Zn  0.736  0.250  0.655
Hg  0.420  0.250  0.875
Hg  0.580  0.750  0.125

Q:
A plane-wave DFT calculation with PBE-GGA was carried out for an optimized crystal structure of Hf3ZnHg.

Computed properties:
**SG**: No. 221
**V**: 23.57 A^3/atom
**Density of states at the Fermi level**: 1.65 states/eV/cell
**Total magnetic moment**: 0.00 μB/cell

a b c (Å): 4.903 4.903 4.903
angles (deg): 90.00 90.00 90.00
Atoms (fractional coordinates):
Hf  0.000  0.000  0.500
Hf  0.000  0.500  0.000
Hf  0.500  0.000  0.000
Zn  0.000  0.000  0.000
Hg  0.500  0.500  0.500

Which of them is the most stable? Correct choice: P.

P:
A plane-wave DFT calculation with PBE-GGA was carried out for an optimized crystal structure of Hf2ZnHg2.

Computed properties:
**SG**: No. 127
**V**: 22.15 A^3/atom
**Density of states at the Fermi level**: 9.98 states/eV/cell
**Total magnetic moment**: 0.00 μB/cell

a b c (Å): 7.368 7.368 4.079
angles (deg): 90.00 90.00 90.00
Atoms (fractional coordinates):
Hf  0.154  0.346  0.000
Hf  0.346  0.846  0.000
Hf  0.654  0.154  0.000
Hf  0.846  0.654  0.000
Zn  0.000  0.000  0.000
Zn  0.500  0.500  0.000
Hg  0.150  0.650  0.500
Hg  0.350  0.150  0.500
Hg  0.650  0.850  0.500
Hg  0.850  0.350  0.500

Q:
A plane-wave DFT calculation with PBE-GGA was carried out for an optimized crystal structure of Hf2ZnHg2.

Computed properties:
**SG**: No. 127
**V**: 20.88 A^3/atom
**Density of states at the Fermi level**: 3.38 states/eV/cell
**Total magnetic moment**: 0.00 μB/cell

a b c (Å): 6.936 6.936 4.340
angles (deg): 90.00 90.00 90.00
Atoms (fractional coordinates):
Hf  0.164  0.336  0.000
Hf  0.336  0.836  0.000
Hf  0.664  0.164  0.000
Hf  0.836  0.664  0.000
Zn  0.000  0.000  0.500
Zn  0.500  0.500  0.500
Hg  0.144  0.644  0.500
Hg  0.356  0.144  0.500
Hg  0.644  0.856  0.500
Hg  0.856  0.356  0.500

Which of them is the most stable? Correct choice: Q.

P:
A plane-wave DFT calculation with PBE-GGA was carried out for an optimized crystal structure of Hf3ZrHg.

Computed properties:
**SG**: No. 2
**V**: 22.14 A^3/atom
**Density of states at the Fermi level**: 11.14 states/eV/cell
**Total magnetic moment**: 0.00 μB/cell

a b c (Å): 3.150 7.800 9.821
angles (deg): 110.05 90.00 101.64
Atoms (fractional coordinates):
Hf  0.130  0.259  0.231
Hf  0.221  0.441  0.841
Hf  0.331  0.661  0.466
Hf  0.669  0.339  0.534
Hf  0.779  0.559  0.159
Hf  0.870  0.741  0.769
Zr  0.023  0.045  0.650
Zr  0.977  0.955  0.350
Hg  0.423  0.847  0.060
Hg  0.577  0.153  0.940

Q:
A plane-wave DFT calculation with PBE-GGA was carried out for an optimized crystal structure of Hf3ZrHg.

Computed properties:
**SG**: No. 221
**V**: 28.01 A^3/atom
**Density of states at the Fermi level**: 5.76 states/eV/cell
**Total magnetic moment**: 2.36 μB/cell

a b c (Å): 5.193 5.193 5.193
angles (deg): 90.00 90.00 90.00
Atoms (fractional coordinates):
Hf  0.000  0.000  0.500
Hf  0.000  0.500  0.000
Hf  0.500  0.000  0.000
Zr  0.500  0.500  0.500
Hg  0.000  0.000  0.000

Which of them is the most stable? Correct choice: P.